This record from the Alexandria database describes crystalline Ni2Sn4Pd5 at its relaxed geometry. The functional is GGA-PBE.

symmetry: No. 71
DFT formation energy: -0.234 eV/atom
DOS at the Fermi energy: 6.45 states/eV per cell
calculated total energy: -5.10 eV per atom
total magnetic moment: 0.00 μB/f.u.

```
Ni2Sn4Pd5
1.0
-1.546 4.043 8.178
1.546 -4.043 8.178
1.546 4.043 -8.178
Ni Sn Pd
2 4 5
direct
0.080 0.080 0.000
0.920 0.920 0.000
0.216 0.500 0.716
0.237 0.237 0.000
0.763 0.763 0.000
0.784 0.500 0.284
0.074 0.334 0.739
0.405 0.666 0.739
0.500 0.000 0.500
0.595 0.334 0.261
0.926 0.666 0.261
```